## Ce5PuPb4 (PBE)

Data for a geometry-optimized Ce5PuPb4 structure.

Cell lengths 3.6758, 3.6758, 20.4145 Å; angles 90.00, 90.00, 90.00 degrees
Each line ends with the local moment (μB).
Positions (direct):
1 Pu 0.0000 0.0000 0.0000  -0.02
2 Ce 0.5000 0.5000 0.0713  0.01
3 Ce 0.5000 0.5000 0.2815  0.95
4 Ce 0.5000 0.5000 0.9287  0.01
5 Ce 0.5000 0.5000 0.5000  0.96
6 Ce 0.5000 0.5000 0.7185  0.95
7 Pb 0.0000 0.0000 0.3907  -0.02
8 Pb 0.0000 0.0000 0.1741  -0.01
9 Pb 0.0000 0.0000 0.6093  -0.02
10 Pb 0.0000 0.0000 0.8259  -0.01

## Properties
- DFT formation energy: -1.12 eV/f.u.
- Total moment: 3.75 μB per cell